! Ba2CoAgH6, relaxed, DFT PBE-GGA; values from VASP
! * volume: 128.3 Å³ per cell
! * uncorrected energy: -3.746 eV/atom
&SYSTEM
  ibrav = 0, nat = 10, ntyp = 4
/
ATOMIC_SPECIES
Ba 137.33 Ba.upf
Co 58.93 Co.upf
Ag 107.87 Ag.upf
H 1.01 H.upf
CELL_PARAMETERS angstrom
0.000 4.003 4.003
4.003 0.000 4.003
4.003 4.003 0.000
ATOMIC_POSITIONS crystal
Ba 0.250 0.250 0.250
Ba 0.750 0.750 0.750
Co 0.000 0.000 0.000
Ag 0.500 0.500 0.500
H 0.201 0.201 0.799
H 0.201 0.799 0.201
H 0.201 0.799 0.799
H 0.799 0.201 0.201
H 0.799 0.201 0.799
H 0.799 0.799 0.201